Ba3Zn2Hg9: relaxed, PBE-GGA.

Cell and atoms, written as CIF:
```
data_Ba3Zn2Hg9
_cell_length_a 5.386
_cell_length_b 9.889
_cell_length_c 14.991
_cell_angle_alpha 90.00
_cell_angle_beta 90.00
_cell_angle_gamma 90.00
_symmetry_space_group_name_H-M 'I m m m'
_symmetry_Int_Tables_number 71
_symmetry_space_group_name_Hall '-I 2 2'
loop_
_atom_site_label
_atom_site_fract_x
_atom_site_fract_y
_atom_site_fract_z
Ba1 0.000 0.000 0.000
Ba2 0.000 0.000 0.285
Zn1 0.000 0.145 0.500
Hg1 0.000 0.294 0.147
Hg2 0.000 0.349 0.362
Hg3 0.000 0.500 0.000
```

Summary:
Formation enthalpy at 0 K ... -326 meV/atom
N(E_F) ... 8.05 states/eV/f.u.



LiPrNd2Tl4: relaxed, PBE-GGA.

Cell and atoms, written as CIF:
```
data_LiPrNd2Tl4
_cell_length_a 5.3672
_cell_length_b 5.3672
_cell_length_c 27.4261
_cell_angle_alpha 90.00
_cell_angle_beta 90.00
_cell_angle_gamma 120.00
_symmetry_space_group_name_H-M 'R -3 m'
_symmetry_Int_Tables_number 166
_symmetry_space_group_name_Hall '-R 3 2"'
loop_
_atom_site_label
_atom_site_fract_x
_atom_site_fract_y
_atom_site_fract_z
Li1 0.0000 0.0000 0.0000
Pr1 0.0000 0.0000 0.5000
Nd1 0.0000 0.0000 0.2565
Tl1 0.0000 0.0000 0.1232
Tl2 0.0000 0.0000 0.3732
```

Summary:
Formation enthalpy at 0 K ... -354 meV/atom
N(E_F) ... 4.94 states/eV/f.u.



TbYCd5: relaxed, PBE-GGA.

Cell and atoms, written as CIF:
```
data_TbYCd5
_cell_length_a 5.120
_cell_length_b 5.120
_cell_length_c 6.996
_cell_angle_alpha 90.00
_cell_angle_beta 90.00
_cell_angle_gamma 90.00
_symmetry_space_group_name_H-M 'P 4/m m m'
_symmetry_Int_Tables_number 123
_symmetry_space_group_name_Hall '-P 4 2'
loop_
_atom_site_label
_atom_site_fract_x
_atom_site_fract_y
_atom_site_fract_z
Tb1 0.000 0.000 0.000
Y1 0.500 0.500 0.500
Cd1 0.000 0.000 0.500
Cd2 0.000 0.500 0.235
```

Summary:
Formation enthalpy at 0 K ... -101 meV/atom
N(E_F) ... 4.54 states/eV/f.u.



LaAs2Se: relaxed, PBE-GGA.

Cell and atoms, written as CIF:
```
data_LaAs2Se
_cell_length_a 4.154
_cell_length_b 4.154
_cell_length_c 23.608
_cell_angle_alpha 90.00
_cell_angle_beta 90.00
_cell_angle_gamma 90.00
_symmetry_space_group_name_H-M 'I -4 2 d'
_symmetry_Int_Tables_number 122
_symmetry_space_group_name_Hall 'I -4 2bw'
loop_
_atom_site_label
_atom_site_fract_x
_atom_site_fract_y
_atom_site_fract_z
La1 0.000 0.000 0.000
As1 0.200 0.250 0.625
Se1 0.000 0.000 0.500
```

Summary:
Polymorph energy (0 for the lowest one) ... 230 meV per atom
N(E_F) ... 1.67 states/eV/f.u.
Raw formation energy ... -291 kJ/mol of formula units



Ac3Sn2Hg: relaxed, PBE-GGA.

Cell and atoms, written as CIF:
```
data_Ac3Sn2Hg
_cell_length_a 17.628
_cell_length_b 6.887
_cell_length_c 6.925
_cell_angle_alpha 90.00
_cell_angle_beta 103.02
_cell_angle_gamma 90.00
_symmetry_space_group_name_H-M 'C 1 2/c 1'
_symmetry_Int_Tables_number 15
loop_
_symmetry_equiv_pos_as_xyz
'x,y,z'
'-x,-y,-z'
'-x,y,-z+1/2'
'x,-y,z+1/2'
'x+1/2,y+1/2,z'
'-x+1/2,-y+1/2,-z'
'-x+1/2,y+1/2,-z+1/2'
'x+1/2,-y+1/2,z+1/2'
loop_
_atom_site_label
_atom_site_fract_x
_atom_site_fract_y
_atom_site_fract_z
Ac1 0.000 0.156 0.250
Ac2 0.175 0.391 0.617
Sn1 0.157 0.100 0.038
Hg1 0.000 0.356 0.750
```

Summary:
Polymorph energy (0 for the lowest one) ... 79 meV per atom
Formation enthalpy at 0 K ... -523 meV/atom
N(E_F) ... 4.11 states/eV/f.u.



NaPmCd3: relaxed, PBE-GGA.

Cell and atoms, written as CIF:
```
data_NaPmCd3
_cell_length_a 3.498
_cell_length_b 7.962
_cell_length_c 10.384
_cell_angle_alpha 90.00
_cell_angle_beta 90.03
_cell_angle_gamma 90.00
_symmetry_space_group_name_H-M 'P 1 21/m 1'
_symmetry_Int_Tables_number 11
loop_
_symmetry_equiv_pos_as_xyz
'x,y,z'
'-x,-y,-z'
'-x,y+1/2,-z'
'x,-y+1/2,z'
loop_
_atom_site_label
_atom_site_fract_x
_atom_site_fract_y
_atom_site_fract_z
Na1 0.000 0.250 0.092
Pm1 0.000 0.250 0.550
Cd1 0.499 0.062 0.324
Cd2 0.499 0.750 0.170
```

Summary:
Formation enthalpy at 0 K ... -114 meV/atom
N(E_F) ... 4.15 states/eV/f.u.



MgBiH3: relaxed, PBE-GGA.

Cell and atoms, written as CIF:
```
data_MgBiH3
_cell_length_a 4.324
_cell_length_b 4.324
_cell_length_c 4.324
_cell_angle_alpha 90.00
_cell_angle_beta 90.00
_cell_angle_gamma 90.00
_symmetry_space_group_name_H-M 'P m -3 m'
_symmetry_Int_Tables_number 221
_symmetry_space_group_name_Hall '-P 4 2 3'
loop_
_atom_site_label
_atom_site_fract_x
_atom_site_fract_y
_atom_site_fract_z
Mg1 0.000 0.000 0.000
Bi1 0.500 0.500 0.500
H1 0.000 0.500 0.500
```

Summary:
Polymorph energy (0 for the lowest one) ... 225 meV per atom
N(E_F) ... 1.58 states/eV/f.u.



Which value of N(E_F) does entry 1 give?
8.05 states/eV/f.u.